{"formula": "Na2V2HgO7", "functional": "GGA+U", "state": "relaxed", "energy_ev_per_atom": -5.987, "lattice_angstrom": [[5.7602, 0.0000, 0.0000], [2.8801, 4.9885, 0.0000], [2.8801, 1.6628, 7.6885]], "species": ["Na", "Na", "V", "V", "Hg", "O", "O", "O", "O", "O", "O", "O"], "frac_coords": [[0.7778, 0.7778, 0.6666], [0.2222, 0.2222, 0.3334], [0.9216, 0.9216, 0.2350], [0.0784, 0.0784, 0.7650], [0.5000, 0.5000, 0.5000], [0.1959, 0.8479, 0.3141], [0.6422, 0.1959, 0.3141], [0.8479, 0.6422, 0.3141], [0.3578, 0.1521, 0.6859], [0.8041, 0.3578, 0.6859], [0.0000, 0.0000, 0.0000], [0.1521, 0.8041, 0.6859]]}